No. 1
TmPaCoTc: optimized geometry, GGA-PBE.

Lattice parameters (Å, degrees): 6.7384 6.7384 6.7384 90.00 90.00 90.00
Space group F-43m (No. 216)
One atom of each set of equivalent atoms:
Tm 0.0000 0.0000 0.0000
Pa 0.0000 0.0000 0.5000
Co 0.2500 0.2500 0.2500
Tc 0.2500 0.2500 0.7500

Output
The total magnetic moment comes out at 0.11 μB per atom. Its calculated formation energy is -182 meV/atom. The value obtained for the total DFT energy (no corrections) is -8.0417 eV/atom.

No. 2
PaVCoTc: optimized geometry, GGA-PBE.

Lattice parameters (Å, degrees): 6.3782 6.3782 6.3782 90.00 90.00 90.00
Space group F-43m (No. 216)
One atom of each set of equivalent atoms:
Pa 0.0000 0.0000 0.0000
V 0.0000 0.0000 0.5000
Co 0.2500 0.2500 0.7500
Tc 0.2500 0.2500 0.2500

Output
The total magnetic moment comes out at 0.49 μB per atom. Its calculated formation energy is -36 meV/atom. The value obtained for the total DFT energy (no corrections) is -9.0577 eV/atom.

No. 3
YPaCoTc: optimized geometry, GGA-PBE.

Lattice parameters (Å, degrees): 6.7897 6.7897 6.7897 90.00 90.00 90.00
Space group F-43m (No. 216)
One atom of each set of equivalent atoms:
Y 0.0000 0.0000 0.0000
Pa 0.0000 0.0000 0.5000
Co 0.2500 0.2500 0.2500
Tc 0.2500 0.2500 0.7500

Output
The total magnetic moment comes out at 0.12 μB per atom. Its calculated formation energy is -106 meV/atom. The value obtained for the total DFT energy (no corrections) is -8.4643 eV/atom.

No. 4
PaZnCoTc: optimized geometry, GGA-PBE.

Lattice parameters (Å, degrees): 6.3733 6.3733 6.3733 90.00 90.00 90.00
Space group F-43m (No. 216)
One atom of each set of equivalent atoms:
Pa 0.0000 0.0000 0.0000
Zn 0.0000 0.0000 0.5000
Co 0.2500 0.2500 0.2500
Tc 0.2500 0.2500 0.7500

Output
The total magnetic moment comes out at 0.00 μB per atom. Its calculated formation energy is -144 meV/atom. The value obtained for the total DFT energy (no corrections) is -7.2042 eV/atom.

No. 5
ZrPaCoTc: optimized geometry, GGA-PBE.

Lattice parameters (Å, degrees): 6.6320 6.6320 6.6320 90.00 90.00 90.00
Space group F-43m (No. 216)
One atom of each set of equivalent atoms:
Zr 0.0000 0.0000 0.0000
Pa 0.0000 0.0000 0.5000
Co 0.2500 0.2500 0.7500
Tc 0.2500 0.2500 0.2500

Output
The total magnetic moment comes out at 0.01 μB per atom. Its calculated formation energy is -207 meV/atom. The value obtained for the total DFT energy (no corrections) is -9.0859 eV/atom.

No. 6
PaCoTe: optimized geometry, GGA-PBE.

Lattice parameters (Å, degrees): 9.6202 3.9962 8.9883 90.00 112.00 90.00
Space group C2/m (No. 12)
One atom of each set of equivalent atoms:
Pa 0.0931 0.0000 0.3924
Co 0.1328 0.5000 0.6063
Te 0.2393 0.5000 0.2041

Output
The total magnetic moment comes out at 0.04 μB per atom. The value obtained for the formation energy (no corrections) is -499 meV/atom. The value obtained for the total DFT energy (no corrections) is -7.0805 eV/atom.

Repeat the fourth record exactly.
PaZnCoTc: optimized geometry, GGA-PBE.

Lattice parameters (Å, degrees): 6.3733 6.3733 6.3733 90.00 90.00 90.00
Space group F-43m (No. 216)
One atom of each set of equivalent atoms:
Pa 0.0000 0.0000 0.0000
Zn 0.0000 0.0000 0.5000
Co 0.2500 0.2500 0.2500
Tc 0.2500 0.2500 0.7500

Output
The total magnetic moment comes out at 0.00 μB per atom. Its calculated formation energy is -144 meV/atom. The value obtained for the total DFT energy (no corrections) is -7.2042 eV/atom.

- The lowest total DFT energy (no corrections) belongs to which entry?
  ZrPaCoTc